This record from the Alexandria database describes PuUIn after structural relaxation. The functional is GGA-PBE.

a b c (Å): 5.927 5.927 5.927
angles (deg): 145.93 145.93 48.96
Element x y z (fractional)
Pu 0.000 0.000 0.000
U 0.413 0.413 0.000
In 0.706 0.706 0.000

Output
Energy relative to the elements ... 90 meV per atom
Crystal system ... tetragonal
Energy relative to the lowest polymorph listed for this composition ... 0.0 kJ/mol of atoms

---

This record from the Alexandria database describes CoTc2BiB after structural relaxation. The functional is GGA-PBE.

a b c (Å): 4.467 4.467 4.858
angles (deg): 90.00 90.00 90.00
Element x y z (fractional)
Co 0.000 0.000 0.000
Tc 0.000 0.500 0.000
Tc 0.500 0.000 0.000
Bi 0.000 0.000 0.500
B 0.500 0.500 0.500

Output
Energy relative to the elements ... 2025 meV per atom
Crystal system ... tetragonal

---

This record from the Alexandria database describes Y2TlPt after structural relaxation. The functional is GGA-PBE.

a b c (Å): 5.963 5.963 5.963
angles (deg): 137.43 137.43 61.77
Element x y z (fractional)
Y 0.000 0.000 0.000
Y 0.750 0.250 0.500
Tl 0.500 0.500 0.000
Pt 0.250 0.750 0.500

Output
Energy relative to the elements ... -559 meV per atom
Crystal system ... tetragonal
Energy relative to the lowest polymorph listed for this composition ... 23.0 kJ/mol of atoms

---

This record from the Alexandria database describes PmTmMnHg after structural relaxation. The functional is GGA-PBE.

a b c (Å): 5.180 5.180 5.180
angles (deg): 60.00 60.00 60.00
Element x y z (fractional)
Pm 0.000 0.000 0.000
Tm 0.500 0.500 0.500
Mn 0.750 0.750 0.750
Hg 0.250 0.250 0.250

Output
Energy relative to the elements ... -65 meV per atom
Crystal system ... cubic

---

This record from the Alexandria database describes Ce2DyPb2 after structural relaxation. The functional is GGA-PBE.

a b c (Å): 7.708 7.708 3.457
angles (deg): 99.90 99.90 46.67
Element x y z (fractional)
Ce 0.089 0.089 0.221
Ce 0.911 0.911 0.779
Dy 0.500 0.500 0.500
Pb 0.298 0.298 0.898
Pb 0.702 0.702 0.102

Output
Energy relative to the elements ... -168 meV per atom
Crystal system ... monoclinic

---

This record from the Alexandria database describes BaMgCr2 after structural relaxation. The functional is GGA-PBE.

a b c (Å): 3.307 3.292 8.559
angles (deg): 90.00 90.08 90.00
Element x y z (fractional)
Ba 0.000 0.000 0.000
Mg 0.500 0.500 0.351
Cr 0.000 0.000 0.574
Cr 0.500 0.500 0.682

Output
Energy relative to the elements ... 491 meV per atom
Crystal system ... monoclinic

---

This record from the Alexandria database describes CeDySc2Sb4 after structural relaxation. The functional is GGA-PBE.

a b c (Å): 7.425 4.310 7.464
angles (deg): 90.00 109.50 90.00
Element x y z (fractional)
Ce 0.000 0.000 0.000
Dy 0.000 0.500 0.500
Sc 0.500 0.000 0.500
Sc 0.500 0.500 0.000
Sb 0.266 0.000 0.753
Sb 0.269 0.500 0.259
Sb 0.731 0.500 0.741
Sb 0.734 0.000 0.247

Output
Crystal system ... monoclinic
Energy relative to the elements, uncorrected ... -8.039 eV per formula unit

---

This record from the Alexandria database describes SrSm2Hf after structural relaxation. The functional is GGA-PBE.

a b c (Å): 12.905 12.905 12.905
angles (deg): 15.29 15.29 15.29
Element x y z (fractional)
Sr 0.000 0.000 0.000
Sm 0.420 0.420 0.420
Sm 0.580 0.580 0.580
Hf 0.500 0.500 0.500

Output
Energy relative to the elements ... 565 meV per atom
Crystal system ... trigonal